The following is a GGA-PBE calculation of a relaxed Dy2AlGa4 crystal, from Alexandria via LeMat-Bulk.

```
Dy2AlGa4
1.0
4.187 0.000 0.000
0.000 5.931 -0.698
0.000 1.194 5.851
Al Ga Dy
1 4 2
direct
0.500 0.500 0.500
0.000 0.739 0.739
0.000 0.261 0.261
0.500 0.000 0.500
0.500 0.500 0.000
0.000 0.768 0.232
0.000 0.232 0.768
```

The crystal system is orthorhombic. As for the formation energy: -2.9 eV per formula unit. The value obtained for the total moment is 0.0 Bohr magnetons per cell.

---

The following is a GGA-PBE calculation of a relaxed Dy2Al2Ga crystal, from Alexandria via LeMat-Bulk.

```
Dy2Al2Ga
1.0
3.473 0.000 0.000
0.000 4.180 -1.356
0.000 0.101 7.430
Dy Al Ga
2 2 1
direct
0.000 0.690 0.381
0.000 0.925 0.851
0.500 0.309 0.618
0.500 0.508 0.016
0.500 0.109 0.218
```

The crystal system is orthorhombic. As for the formation energy: -2.5 eV per formula unit. The value obtained for the total moment is 0.0 Bohr magnetons per cell.

---

What is the formula in the first record? Dy2AlGa4